Entry from the Alexandria database: an optimized crystal structure of LaCe5Sb6 (PBE).

Values from the calculation:
energy relative to the elements, uncorrected	-1.079	eV/atom
raw total energy	-144.56	eV/cell

Cell and atoms, written as CIF:
```
data_LaCe5Sb6
_chemical_formula_sum 'La2 Ce10 Sb12'
_symmetry_space_group_name_H-M 'C 1 2/m 1'
_symmetry_Int_Tables_number 12
_cell_length_a 7.834
_cell_length_b 13.571
_cell_length_c 7.839
_cell_angle_alpha 90.00
_cell_angle_beta 109.47
_cell_angle_gamma 90.00
loop_
_symmetry_equiv_pos_as_xyz
'x,y,z'
'-x,-y,-z'
'-x,y,-z'
'x,-y,z'
'x+1/2,y+1/2,z'
'-x+1/2,-y+1/2,-z'
'-x+1/2,y+1/2,-z'
'x+1/2,-y+1/2,z'
loop_
_atom_site_label
_atom_site_type_symbol
_atom_site_fract_x
_atom_site_fract_y
_atom_site_fract_z
La1 La 0.000 0.000 0.000
Ce1 Ce 0.000 0.165 0.500
Ce2 Ce 0.000 0.333 0.000
Ce3 Ce 0.000 0.500 0.500
Sb1 Sb 0.246 0.500 0.252
Sb2 Sb 0.247 0.331 0.747
```